A crystal of Sr2HfGeI relaxed with PBEsol. Source: Alexandria via LeMat-Bulk, functional meta-GGA SCAN.

Results
- Space group: No. 123
- Electronic total energy: -2.390 Ry/atom
- DOS(E_F): 2.7 states/eV per cell
- Total magnetization: 0.372 μB/atom
- ΔE_f (raw): 0.09 eV per atom

Lattice parameters (Å, degrees): 6.360 6.360 4.952 90.00 90.00 90.00
Atoms (fractional coordinates):
Sr: 0.000 0.500 0.000
Sr: 0.500 0.000 0.000
Hf: 0.000 0.000 0.000
Ge: 0.000 0.000 0.500
I: 0.500 0.500 0.500